Model a:
The following is a DFT calculation (GGA-PBE) of crystalline CdAg2Se at its relaxed geometry.

Calculated values
As for the space group: P4/mmm, No. 123.

a = 3.0519 Å, b = 3.0519 Å, c = 8.4769 Å
α = 90.00°, β = 90.00°, γ = 90.00°
Element x y z (fractional)
Cd: 0.0000 0.0000 0.0000
Ag: 0.5000 0.5000 0.2474
Ag: 0.5000 0.5000 0.7526
Se: 0.0000 0.0000 0.5000

Model b:
The following is a DFT calculation (GGA-PBE) of crystalline CdAg2Se at its relaxed geometry.

Calculated values
As for the space group: Pm, No. 6.

a = 2.9504 Å, b = 4.9098 Å, c = 5.8444 Å
α = 90.00°, β = 103.43°, γ = 90.00°
Element x y z (fractional)
Cd: 0.0000 0.0000 0.0000
Ag: 0.5846 0.5000 0.1720
Ag: 0.7075 0.0000 0.4498
Se: 0.8245 0.5000 0.6814

Model c:
The following is a DFT calculation (GGA-PBE) of crystalline CdAg2Se at its relaxed geometry.

Calculated values
As for the space group: Pmmm, No. 47.

a = 2.9963 Å, b = 4.2967 Å, c = 6.4308 Å
α = 90.00°, β = 90.00°, γ = 90.00°
Element x y z (fractional)
Cd: 0.0000 0.0000 0.0000
Ag: 0.5000 0.5000 0.2207
Ag: 0.5000 0.5000 0.7793
Se: 0.5000 0.0000 0.5000

Model d:
The following is a DFT calculation (GGA-PBE) of crystalline CdAg2Se at its relaxed geometry.

Calculated values
As for the space group: P4/mmm, No. 123.

a = 3.7055 Å, b = 3.7055 Å, c = 5.8274 Å
α = 90.00°, β = 90.00°, γ = 90.00°
Element x y z (fractional)
Cd: 0.0000 0.0000 0.0000
Ag: 0.5000 0.5000 0.2469
Ag: 0.5000 0.5000 0.7531
Se: 0.0000 0.0000 0.5000

Compare the structures above. Which one is the least stable? model a is.